a.
A relaxed structure of Ba8Cd2Ir. Source: the Alexandria database, functional PBE-GGA.

## Properties
Density, g/cm³: 4.453
V, Å³/cell: 565.3
Density of states at the Fermi level, states/eV/f.u.: 11.38

Cell lengths 12.6725, 12.6725, 9.6388 Å; angles 91.28, 91.28, 21.42 degrees
Sites, in units of the cell vectors:
Ba1 0.0055 0.0055 0.2099
Ba2 0.2375 0.2375 0.7037
Ba3 0.3780 0.3780 0.9992
Ba4 0.3975 0.3975 0.4869
Ba5 0.6025 0.6025 0.5131
Ba6 0.6220 0.6220 0.0008
Ba7 0.7625 0.7625 0.2963
Ba8 0.9945 0.9945 0.7901
Cd1 0.1566 0.1566 0.2822
Cd2 0.8434 0.8434 0.7178
Ir1 0.5000 0.5000 0.0000



b.
A relaxed structure of Ba8Cd2Ir. Source: the Alexandria database, functional PBE-GGA.

## Properties
Density, g/cm³: 5.096
V, Å³/cell: 493.9
Density of states at the Fermi level, states/eV/f.u.: 14.65

Cell lengths 11.0503, 11.0503, 7.9839 Å; angles 106.08, 106.08, 31.94 degrees
Sites, in units of the cell vectors:
Ba1 0.0257 0.0257 0.3034
Ba2 0.2147 0.2147 0.8047
Ba3 0.3554 0.3554 0.5434
Ba4 0.4129 0.4129 0.1011
Ba5 0.5871 0.5871 0.8989
Ba6 0.6446 0.6446 0.4566
Ba7 0.7853 0.7853 0.1953
Ba8 0.9743 0.9743 0.6966
Cd1 0.1852 0.1852 0.2257
Cd2 0.8148 0.8148 0.7743
Ir1 0.5000 0.5000 0.5000



Ordering by calculated energy gives the sequence a, b, with the first entry being the most stable.



a.
A relaxed structure of Ba4CdIr. Source: the Alexandria database, functional PBE-GGA.

## Properties
Density, g/cm³: 5.505
V, Å³/cell: 515.1
Density of states at the Fermi level, states/eV/f.u.: 5.72

Cell lengths 9.2137, 9.2137, 7.4287 Å; angles 106.09, 106.09, 110.70 degrees
Sites, in units of the cell vectors:
Ba1 0.0533 0.7274 0.9252
Ba2 0.2111 0.3446 0.6889
Ba3 0.2726 0.9467 0.5748
Ba4 0.3446 0.2111 0.1889
Ba5 0.6554 0.7889 0.8111
Ba6 0.7274 0.0533 0.4252
Ba7 0.7889 0.6554 0.3111
Ba8 0.9467 0.2726 0.0748
Cd1 0.3671 0.6329 0.2500
Cd2 0.6329 0.3671 0.7500
Ir1 0.0016 0.9984 0.2500
Ir2 0.9984 0.0016 0.7500



b.
A relaxed structure of Ba4CdIr. Source: the Alexandria database, functional PBE-GGA.

## Properties
Density, g/cm³: 6.166
V, Å³/cell: 230.0
Density of states at the Fermi level, states/eV/f.u.: 5.63

Cell lengths 6.8771, 6.8771, 6.8771 Å; angles 60.00, 60.00, 60.00 degrees
Sites, in units of the cell vectors:
Ba1 0.3762 0.3762 0.3762
Ba2 0.3762 0.3762 0.8714
Ba3 0.3762 0.8714 0.3762
Ba4 0.8714 0.3762 0.3762
Cd1 0.0000 0.0000 0.0000
Ir1 0.7500 0.7500 0.7500



Ordering by calculated energy gives the sequence a, b, with the first entry being the most stable.



a.
A relaxed structure of Ba2LiCdIr. Source: the Alexandria database, functional PBE-GGA.

## Properties
Density, g/cm³: 4.963
V, Å³/cell: 196.1
Density of states at the Fermi level, states/eV/f.u.: 2.94

Cell lengths 6.0607, 6.0607, 5.3397 Å; angles 90.00, 90.00, 90.00 degrees
Sites, in units of the cell vectors:
Ba1 0.0000 0.5000 0.0000
Ba2 0.5000 0.0000 0.0000
Li1 0.0000 0.0000 0.5000
Cd1 0.5000 0.5000 0.5000
Ir1 0.5000 0.5000 0.0000



b.
A relaxed structure of Ba2LiCdIr. Source: the Alexandria database, functional PBE-GGA.

## Properties
Density, g/cm³: 5.379
V, Å³/cell: 181.0
Density of states at the Fermi level, states/eV/f.u.: 4.53

Cell lengths 6.0358, 6.0358, 4.9680 Å; angles 90.00, 90.00, 90.00 degrees
Sites, in units of the cell vectors:
Ba1 0.0000 0.5000 0.0000
Ba2 0.5000 0.0000 0.0000
Li1 0.0000 0.0000 0.5000
Cd1 0.5000 0.5000 0.5000
Ir1 0.0000 0.0000 0.0000



Ordering by calculated energy gives the sequence a, b, with the first entry being the most stable.



a.
A relaxed structure of Ba2NaCdIr. Source: the Alexandria database, functional PBE-GGA.

## Properties
Density, g/cm³: 5.077
V, Å³/cell: 197.0
Density of states at the Fermi level, states/eV/f.u.: 3.31

Cell lengths 6.0524, 6.0524, 5.3773 Å; angles 90.00, 90.00, 90.00 degrees
Sites, in units of the cell vectors:
Ba1 0.0000 0.5000 0.0000
Ba2 0.5000 0.0000 0.0000
Na1 0.0000 0.0000 0.5000
Cd1 0.5000 0.5000 0.5000
Ir1 0.5000 0.5000 0.0000



b.
A relaxed structure of Ba2NaCdIr. Source: the Alexandria database, functional PBE-GGA.

## Properties
Density, g/cm³: 4.972
V, Å³/cell: 201.2
Density of states at the Fermi level, states/eV/f.u.: 5.06

Cell lengths 5.9932, 5.9932, 5.6006 Å; angles 90.00, 90.00, 90.00 degrees
Sites, in units of the cell vectors:
Ba1 0.0000 0.5000 0.0000
Ba2 0.5000 0.0000 0.0000
Na1 0.0000 0.0000 0.5000
Cd1 0.5000 0.5000 0.5000
Ir1 0.0000 0.0000 0.0000



Ordering by calculated energy gives the sequence a, b, with the first entry being the most stable.



a.
A relaxed structure of Ba3CdIr2O9. Source: the Alexandria database, functional PBE-GGA.

## Properties
Density, g/cm³: 7.682
V, Å³/cell: 455.2
Density of states at the Fermi level, states/eV/f.u.: 9.30

Cell lengths 5.9546, 5.9546, 14.7742 Å; angles 91.15, 91.15, 119.59 degrees
Sites, in units of the cell vectors:
Ba1 0.0077 0.9923 0.7500
Ba2 0.3249 0.6615 0.4152
Ba3 0.3385 0.6751 0.0848
Ba4 0.6615 0.3249 0.9152
Ba5 0.6751 0.3385 0.5848
Ba6 0.9923 0.0077 0.2500
Cd1 0.0000 0.0000 0.0000
Cd2 0.0000 0.0000 0.5000
Ir1 0.3174 0.6459 0.8364
Ir2 0.3541 0.6826 0.6636
Ir3 0.6459 0.3174 0.3364
Ir4 0.6826 0.3541 0.1636
O1 0.0301 0.5099 0.7373
O2 0.1377 0.7797 0.9107
O3 0.1401 0.3159 0.8980
O4 0.2204 0.3974 0.5736
O5 0.2203 0.8623 0.5893
O6 0.3159 0.1401 0.3980
O7 0.3974 0.2204 0.0736
O8 0.4901 0.9699 0.7627
O9 0.4905 0.5095 0.7500
O10 0.5095 0.4905 0.2500
O11 0.5099 0.0301 0.2373
O12 0.6026 0.7796 0.9264
O13 0.6841 0.8599 0.6020
O14 0.7797 0.1377 0.4107
O15 0.7796 0.6026 0.4264
O16 0.8599 0.6841 0.1020
O17 0.8623 0.2203 0.0893
O18 0.9699 0.4901 0.2627



b.
A relaxed structure of Ba3CdIr2O9. Source: the Alexandria database, functional PBE-GGA.

## Properties
Density, g/cm³: 8.051
V, Å³/cell: 217.1
Density of states at the Fermi level, states/eV/f.u.: 6.98

Cell lengths 5.8841, 5.8841, 7.2420 Å; angles 90.00, 90.00, 120.00 degrees
Sites, in units of the cell vectors:
Ba1 0.0000 0.0000 0.0000
Ba2 0.3333 0.6667 0.6623
Ba3 0.6667 0.3333 0.3377
Cd1 0.0000 0.0000 0.5000
Ir1 0.3333 0.6667 0.1576
Ir2 0.6667 0.3333 0.8424
O1 0.0000 0.5000 0.0000
O2 0.1775 0.3550 0.3142
O3 0.1775 0.8225 0.3142
O4 0.3550 0.1775 0.6858
O5 0.5000 0.0000 0.0000
O6 0.5000 0.5000 0.0000
O7 0.6450 0.8225 0.3142
O8 0.8225 0.1775 0.6858
O9 0.8225 0.6450 0.6858



Ordering by calculated energy gives the sequence a, b, with the first entry being the most stable.



a.
A relaxed structure of KBaCd2. Source: the Alexandria database, functional PBE-GGA.

## Properties
Density, g/cm³: 4.948
V, Å³/cell: 134.7
Density of states at the Fermi level, states/eV/f.u.: 4.40

Cell lengths 5.7533, 5.7533, 5.7533 Å; angles 60.00, 60.00, 60.00 degrees
Sites, in units of the cell vectors:
K1 0.0000 0.0000 0.0000
Ba1 0.7500 0.7500 0.7500
Cd1 0.2500 0.2500 0.2500
Cd2 0.5000 0.5000 0.5000



b.
A relaxed structure of KBaCd2. Source: the Alexandria database, functional PBE-GGA.

## Properties
Density, g/cm³: 4.058
V, Å³/cell: 164.2
Density of states at the Fermi level, states/eV/f.u.: 3.00

Cell lengths 4.8977, 5.1470, 6.9554 Å; angles 90.00, 110.52, 90.00 degrees
Sites, in units of the cell vectors:
K1 0.0000 0.0000 0.0000
Ba1 0.7068 0.5000 0.4147
Cd1 0.2903 0.0000 0.5817
Cd2 0.4130 0.5000 0.8261



c.
A relaxed structure of KBaCd2. Source: the Alexandria database, functional PBE-GGA.

## Properties
Density, g/cm³: 4.375
V, Å³/cell: 152.3
Density of states at the Fermi level, states/eV/f.u.: 5.58

Cell lengths 5.9940, 5.9940, 5.9940 Å; angles 60.00, 60.00, 60.00 degrees
Sites, in units of the cell vectors:
K1 0.0000 0.0000 0.0000
Ba1 0.5000 0.5000 0.5000
Cd1 0.2500 0.2500 0.2500
Cd2 0.7500 0.7500 0.7500



Ordering by calculated energy gives the sequence b, c, a, with the first entry being the most stable.



a.
A relaxed structure of KBaCd2. Source: the Alexandria database, functional PBE-GGA.

## Properties
Density, g/cm³: 4.047
V, Å³/cell: 164.6
Density of states at the Fermi level, states/eV/f.u.: 3.12

Cell lengths 4.1744, 4.1744, 9.4476 Å; angles 90.00, 90.00, 90.00 degrees
Sites, in units of the cell vectors:
K1 0.0000 0.0000 0.0000
Ba1 0.5000 0.5000 0.3935
Cd1 0.0000 0.0000 0.6133
Cd2 0.5000 0.5000 0.7619



b.
A relaxed structure of KBaCd2. Source: the Alexandria database, functional PBE-GGA.

## Properties
Density, g/cm³: 4.264
V, Å³/cell: 156.2
Density of states at the Fermi level, states/eV/f.u.: 3.58

Cell lengths 4.2280, 4.2280, 8.7408 Å; angles 90.00, 90.00, 90.00 degrees
Sites, in units of the cell vectors:
K1 0.0000 0.0000 0.0000
Ba1 0.0000 0.0000 0.5000
Cd1 0.5000 0.5000 0.2649
Cd2 0.5000 0.5000 0.7351



Ordering by calculated energy gives the sequence b, a, with the first entry being the most stable.



a.
A relaxed structure of KBaCd2. Source: the Alexandria database, functional PBE-GGA.

## Properties
Density, g/cm³: 4.382
V, Å³/cell: 152.1
Density of states at the Fermi level, states/eV/f.u.: 3.81

Cell lengths 6.9004, 6.9004, 5.9119 Å; angles 114.19, 114.19, 36.79 degrees
Sites, in units of the cell vectors:
K1 0.0000 0.0000 0.0000
Ba1 0.2031 0.2031 0.6954
Cd1 0.4397 0.4397 0.4407
Cd2 0.7689 0.7689 0.2592



b.
A relaxed structure of KBaCd2. Source: the Alexandria database, functional PBE-GGA.

## Properties
Density, g/cm³: 3.750
V, Å³/cell: 177.7
Density of states at the Fermi level, states/eV/f.u.: 3.70

Cell lengths 4.8506, 4.8506, 9.7549 Å; angles 100.37, 100.37, 52.20 degrees
Sites, in units of the cell vectors:
K1 0.0000 0.0000 0.0000
Ba1 0.5000 0.5000 0.5000
Cd1 0.2468 0.2468 0.7435
Cd2 0.7532 0.7532 0.2565



Ordering by calculated energy gives the sequence a, b, with the first entry being the most stable.